This record from Alexandria via LeMat-Bulk describes a geometry-optimized CsMgTl2Pb structure. The functional is GGA-PBE.

Distance to the lowest polymorph of the same formula in meV/atom: 126
DFT formation energy in kJ/mol of atoms: 8.1
E_tot in eV per atom: -2.094

a = 5.849 Å, b = 5.849 Å, c = 5.688 Å
α = 90.00°, β = 90.00°, γ = 90.00°
Fractional positions:
Pb  0.000  0.000  0.500
Cs  0.500  0.500  0.500
Tl  0.000  0.500  0.000
Tl  0.500  0.000  0.000
Mg  0.000  0.000  0.000